(1)
DFT (PBE) results for a relaxed structure of LuTiTlPd.

Values from the calculation:
- DFT total energy (eV/f.u.) = -21.05

Structure (CIF):
```
data_LuTiTlPd
_chemical_formula_sum 'Lu4 Ti4 Tl4 Pd4'
_cell_length_a 6.909
_cell_length_b 6.909
_cell_length_c 6.909
_cell_angle_alpha 90.00
_cell_angle_beta 90.00
_cell_angle_gamma 90.00
_space_group_name_H-M_alt 'F -4 3 m'
_space_group_IT_number 216
_space_group_name_Hall 'F -4 2 3'
loop_
_atom_site_label
_atom_site_type_symbol
_atom_site_fract_x
_atom_site_fract_y
_atom_site_fract_z
_atom_site_occupancy
Lu1 Lu 0.000 0.000 0.000 1
Ti1 Ti 0.000 0.000 0.500 1
Tl1 Tl 0.250 0.250 0.750 1
Pd1 Pd 0.250 0.250 0.250 1
```

***

(2)
DFT (PBE) results for a relaxed structure of NdSc2In9.

Values from the calculation:
- DFT total energy (eV/f.u.) = -46.35

Structure (CIF):
```
data_NdSc2In9
_chemical_formula_sum 'Nd1 Sc2 In9'
_cell_length_a 4.597
_cell_length_b 4.597
_cell_length_c 13.743
_cell_angle_alpha 90.00
_cell_angle_beta 90.00
_cell_angle_gamma 90.00
_space_group_name_H-M_alt 'P 4/m m m'
_space_group_IT_number 123
_space_group_name_Hall '-P 4 2'
loop_
_atom_site_label
_atom_site_type_symbol
_atom_site_fract_x
_atom_site_fract_y
_atom_site_fract_z
_atom_site_occupancy
Nd1 Nd 0.000 0.000 0.000 1
Sc1 Sc 0.000 0.000 0.338 1
In1 In 0.000 0.500 0.176 1
In2 In 0.000 0.500 0.500 1
In3 In 0.500 0.500 0.000 1
In4 In 0.500 0.500 0.336 1
```

***

(3)
DFT (PBE) results for a relaxed structure of BaNaTcOs2.

Values from the calculation:
- DFT total energy (eV/f.u.) = -20.61

Structure (CIF):
```
data_BaNaTcOs2
_chemical_formula_sum 'Ba1 Na1 Tc1 Os2'
_cell_length_a 5.177
_cell_length_b 5.177
_cell_length_c 5.222
_cell_angle_alpha 90.00
_cell_angle_beta 90.00
_cell_angle_gamma 90.00
_space_group_name_H-M_alt 'P 4/m m m'
_space_group_IT_number 123
_space_group_name_Hall '-P 4 2'
loop_
_atom_site_label
_atom_site_type_symbol
_atom_site_fract_x
_atom_site_fract_y
_atom_site_fract_z
_atom_site_occupancy
Ba1 Ba 0.000 0.000 0.000 1
Na1 Na 0.500 0.500 0.500 1
Tc1 Tc 0.000 0.000 0.500 1
Os1 Os 0.000 0.500 0.000 1
```

***

(4)
DFT (PBE) results for a relaxed structure of KAg4Pd.

Values from the calculation:
- energy relative to the lowest polymorph listed for this composition (eV/atom) = 0.026

Structure (CIF):
```
data_KAg4Pd
_chemical_formula_sum 'K4 Ag16 Pd4'
_cell_length_a 7.948
_cell_length_b 7.948
_cell_length_c 7.948
_cell_angle_alpha 90.00
_cell_angle_beta 90.00
_cell_angle_gamma 90.00
_space_group_name_H-M_alt 'F -4 3 m'
_space_group_IT_number 216
_space_group_name_Hall 'F -4 2 3'
loop_
_atom_site_label
_atom_site_type_symbol
_atom_site_fract_x
_atom_site_fract_y
_atom_site_fract_z
_atom_site_occupancy
K1 K 0.000 0.000 0.000 1
Ag1 Ag 0.124 0.124 0.376 1
Pd1 Pd 0.250 0.250 0.750 1
```

***

(5)
DFT (PBE) results for a relaxed structure of CsRbUS3.

Values from the calculation:
- uncorrected formation energy (eV/atom) = -1.304

Structure (CIF):
```
data_CsRbUS3
_chemical_formula_sum 'Cs4 Rb4 U4 S12'
_cell_length_a 7.973
_cell_length_b 15.839
_cell_length_c 7.342
_cell_angle_alpha 90.00
_cell_angle_beta 99.94
_cell_angle_gamma 90.00
_space_group_name_H-M_alt 'C 1 2/c 1'
_space_group_IT_number 15
loop_
_space_group_symop_operation_xyz
'x,y,z'
'-x,-y,-z'
'-x,y,-z+1/2'
'x,-y,z+1/2'
'x+1/2,y+1/2,z'
'-x+1/2,-y+1/2,-z'
'-x+1/2,y+1/2,-z+1/2'
'x+1/2,-y+1/2,z+1/2'
loop_
_atom_site_label
_atom_site_type_symbol
_atom_site_fract_x
_atom_site_fract_y
_atom_site_fract_z
_atom_site_occupancy
Cs1 Cs 0.000 0.241 0.250 1
Rb1 Rb 0.000 0.416 0.750 1
U1 U 0.000 0.051 0.750 1
S1 S 0.000 0.212 0.750 1
S2 S 0.210 0.036 0.503 1
```

***

(6)
DFT (PBE) results for a relaxed structure of TlFe2Ru.

Values from the calculation:
- energy relative to the lowest polymorph listed for this composition (eV/atom) = 0.081

Structure (CIF):
```
data_TlFe2Ru
_chemical_formula_sum 'Tl2 Fe4 Ru2'
_cell_length_a 3.953
_cell_length_b 3.953
_cell_length_c 7.743
_cell_angle_alpha 90.00
_cell_angle_beta 90.00
_cell_angle_gamma 90.00
_space_group_name_H-M_alt 'I -4 m 2'
_space_group_IT_number 119
_space_group_name_Hall 'I -4 -2'
loop_
_atom_site_label
_atom_site_type_symbol
_atom_site_fract_x
_atom_site_fract_y
_atom_site_fract_z
_atom_site_occupancy
Tl1 Tl 0.000 0.000 0.000 1
Fe1 Fe 0.000 0.000 0.500 1
Fe2 Fe 0.000 0.500 0.750 1
Ru1 Ru 0.000 0.500 0.250 1
```

***

(7)
DFT (PBE) results for a relaxed structure of La4UAs5.

Values from the calculation:
- DFT total energy (eV/f.u.) = -68.11

Structure (CIF):
```
data_La4UAs5
_chemical_formula_sum 'La8 U2 As10'
_cell_length_a 9.644
_cell_length_b 9.644
_cell_length_c 6.100
_cell_angle_alpha 90.00
_cell_angle_beta 90.00
_cell_angle_gamma 90.00
_space_group_name_H-M_alt 'I 4/m'
_space_group_IT_number 87
_space_group_name_Hall '-I 4'
loop_
_atom_site_label
_atom_site_type_symbol
_atom_site_fract_x
_atom_site_fract_y
_atom_site_fract_z
_atom_site_occupancy
La1 La 0.097 0.700 0.000 1
U1 U 0.000 0.000 0.500 1
As1 As 0.000 0.000 0.000 1
As2 As 0.095 0.713 0.500 1
```

***

(8)
DFT (PBE) results for a relaxed structure of Sr2NbSnAu.

Values from the calculation:
- DFT total energy (eV/f.u.) = -17.37

Structure (CIF):
```
data_Sr2NbSnAu
_chemical_formula_sum 'Sr2 Nb1 Sn1 Au1'
_cell_length_a 5.895
_cell_length_b 5.895
_cell_length_c 5.059
_cell_angle_alpha 90.00
_cell_angle_beta 90.00
_cell_angle_gamma 90.00
_space_group_name_H-M_alt 'P 4/m m m'
_space_group_IT_number 123
_space_group_name_Hall '-P 4 2'
loop_
_atom_site_label
_atom_site_type_symbol
_atom_site_fract_x
_atom_site_fract_y
_atom_site_fract_z
_atom_site_occupancy
Sr1 Sr 0.000 0.500 0.000 1
Nb1 Nb 0.000 0.000 0.000 1
Sn1 Sn 0.500 0.500 0.500 1
Au1 Au 0.000 0.000 0.500 1
```

***

(9)
DFT (PBE) results for a relaxed structure of YPtAu4.

Values from the calculation:
- energy relative to the lowest polymorph listed for this composition (eV/atom) = 0.024

Structure (CIF):
```
data_YPtAu4
_chemical_formula_sum 'Y4 Pt4 Au16'
_cell_length_a 7.766
_cell_length_b 7.766
_cell_length_c 7.766
_cell_angle_alpha 90.00
_cell_angle_beta 90.00
_cell_angle_gamma 90.00
_space_group_name_H-M_alt 'F -4 3 m'
_space_group_IT_number 216
_space_group_name_Hall 'F -4 2 3'
loop_
_atom_site_label
_atom_site_type_symbol
_atom_site_fract_x
_atom_site_fract_y
_atom_site_fract_z
_atom_site_occupancy
Y1 Y 0.000 0.000 0.000 1
Pt1 Pt 0.250 0.250 0.250 1
Au1 Au 0.125 0.125 0.625 1
```

***

(10)
DFT (PBE) results for a relaxed structure of KYHfGa2.

Values from the calculation:
- DFT total energy (eV/f.u.) = -16.43

Structure (CIF):
```
data_KYHfGa2
_chemical_formula_sum 'K1 Y1 Hf1 Ga2'
_cell_length_a 5.155
_cell_length_b 5.155
_cell_length_c 5.138
_cell_angle_alpha 90.00
_cell_angle_beta 90.00
_cell_angle_gamma 90.00
_space_group_name_H-M_alt 'P 4/m m m'
_space_group_IT_number 123
_space_group_name_Hall '-P 4 2'
loop_
_atom_site_label
_atom_site_type_symbol
_atom_site_fract_x
_atom_site_fract_y
_atom_site_fract_z
_atom_site_occupancy
K1 K 0.000 0.000 0.000 1
Y1 Y 0.000 0.000 0.500 1
Hf1 Hf 0.500 0.500 0.500 1
Ga1 Ga 0.000 0.500 0.000 1
```

***

(11)
DFT (PBE) results for a relaxed structure of LaTe2Mo.

Values from the calculation:
- energy relative to the lowest polymorph listed for this composition (eV/atom) = 0.087
- uncorrected formation energy (eV/atom) = -0.426

Structure (CIF):
```
data_LaTe2Mo
_chemical_formula_sum 'La2 Te4 Mo2'
_cell_length_a 4.970
_cell_length_b 4.257
_cell_length_c 11.566
_cell_angle_alpha 90.00
_cell_angle_beta 90.00
_cell_angle_gamma 90.00
_space_group_name_H-M_alt 'A m m 2'
_space_group_IT_number 38
loop_
_space_group_symop_operation_xyz
'x,y,z'
'-x,-y,z'
'-x,y,z'
'x,-y,z'
'x,y+1/2,z+1/2'
'-x,-y+1/2,z+1/2'
'-x,y+1/2,z+1/2'
'x,-y+1/2,z+1/2'
loop_
_atom_site_label
_atom_site_type_symbol
_atom_site_fract_x
_atom_site_fract_y
_atom_site_fract_z
_atom_site_occupancy
La1 La 0.000 0.000 0.000 1
Te1 Te 0.000 0.000 0.720 1
Te2 Te 0.500 0.000 0.440 1
Mo1 Mo 0.500 0.000 0.798 1
```

***

(12)
DFT (PBE) results for a relaxed structure of CePmSiGe.

Values from the calculation:
- energy relative to the lowest polymorph listed for this composition (eV/atom) = 0.248
- uncorrected formation energy (eV/atom) = -0.485

Structure (CIF):
```
data_CePmSiGe
_chemical_formula_sum 'Ce4 Pm4 Si4 Ge4'
_cell_length_a 7.253
_cell_length_b 7.253
_cell_length_c 7.253
_cell_angle_alpha 90.00
_cell_angle_beta 90.00
_cell_angle_gamma 90.00
_space_group_name_H-M_alt 'F -4 3 m'
_space_group_IT_number 216
_space_group_name_Hall 'F -4 2 3'
loop_
_atom_site_label
_atom_site_type_symbol
_atom_site_fract_x
_atom_site_fract_y
_atom_site_fract_z
_atom_site_occupancy
Ce1 Ce 0.000 0.000 0.000 1
Pm1 Pm 0.000 0.000 0.500 1
Si1 Si 0.250 0.250 0.750 1
Ge1 Ge 0.250 0.250 0.250 1
```

***

(13)
DFT (PBE) results for a relaxed structure of MnAl2Au.

Values from the calculation:
- DFT total energy (eV/f.u.) = -20.06

Structure (CIF):
```
data_MnAl2Au
_chemical_formula_sum 'Mn4 Al8 Au4'
_cell_length_a 6.316
_cell_length_b 6.316
_cell_length_c 6.316
_cell_angle_alpha 90.00
_cell_angle_beta 90.00
_cell_angle_gamma 90.00
_space_group_name_H-M_alt 'F -4 3 m'
_space_group_IT_number 216
_space_group_name_Hall 'F -4 2 3'
loop_
_atom_site_label
_atom_site_type_symbol
_atom_site_fract_x
_atom_site_fract_y
_atom_site_fract_z
_atom_site_occupancy
Mn1 Mn 0.000 0.000 0.000 1
Al1 Al 0.000 0.000 0.500 1
Al2 Al 0.250 0.250 0.250 1
Au1 Au 0.250 0.250 0.750 1
```

***

(14)
DFT (PBE) results for a relaxed structure of Zr2CdB.

Values from the calculation:
- energy relative to the lowest polymorph listed for this composition (eV/atom) = 0.149

Structure (CIF):
```
data_Zr2CdB
_chemical_formula_sum 'Zr8 Cd4 B4'
_cell_length_a 6.603
_cell_length_b 6.603
_cell_length_c 6.603
_cell_angle_alpha 90.00
_cell_angle_beta 90.00
_cell_angle_gamma 90.00
_space_group_name_H-M_alt 'F m -3 m'
_space_group_IT_number 225
_space_group_name_Hall '-F 4 2 3'
loop_
_atom_site_label
_atom_site_type_symbol
_atom_site_fract_x
_atom_site_fract_y
_atom_site_fract_z
_atom_site_occupancy
Zr1 Zr 0.250 0.250 0.250 1
Cd1 Cd 0.000 0.000 0.000 1
B1 B 0.000 0.000 0.500 1
```

***

(15)
DFT (PBE) results for a relaxed structure of ZrP3Cl.

Values from the calculation:
- energy relative to the lowest polymorph listed for this composition (eV/atom) = 0.299
- uncorrected formation energy (eV/atom) = 0.739

Structure (CIF):
```
data_ZrP3Cl
_chemical_formula_sum 'Zr1 P3 Cl1'
_cell_length_a 4.500
_cell_length_b 4.500
_cell_length_c 4.500
_cell_angle_alpha 90.00
_cell_angle_beta 90.00
_cell_angle_gamma 90.00
_space_group_name_H-M_alt 'P m -3 m'
_space_group_IT_number 221
_space_group_name_Hall '-P 4 2 3'
loop_
_atom_site_label
_atom_site_type_symbol
_atom_site_fract_x
_atom_site_fract_y
_atom_site_fract_z
_atom_site_occupancy
Zr1 Zr 0.000 0.000 0.000 1
P1 P 0.000 0.500 0.500 1
Cl1 Cl 0.500 0.500 0.500 1
```

***

(16)
DFT (PBE) results for a relaxed structure of ScTc2Pd.

Values from the calculation:
- energy relative to the lowest polymorph listed for this composition (eV/atom) = 0.000

Structure (CIF):
```
data_ScTc2Pd
_chemical_formula_sum 'Sc4 Tc8 Pd4'
_cell_length_a 6.343
_cell_length_b 6.343
_cell_length_c 6.343
_cell_angle_alpha 90.00
_cell_angle_beta 90.00
_cell_angle_gamma 90.00
_space_group_name_H-M_alt 'F m -3 m'
_space_group_IT_number 225
_space_group_name_Hall '-F 4 2 3'
loop_
_atom_site_label
_atom_site_type_symbol
_atom_site_fract_x
_atom_site_fract_y
_atom_site_fract_z
_atom_site_occupancy
Sc1 Sc 0.000 0.000 0.000 1
Tc1 Tc 0.250 0.250 0.250 1
Pd1 Pd 0.000 0.000 0.500 1
```

***

(17)
DFT (PBE) results for a relaxed structure of K2ReP.

Values from the calculation:
- energy relative to the lowest polymorph listed for this composition (eV/atom) = 0.934

Structure (CIF):
```
data_K2ReP
_chemical_formula_sum 'K4 Re2 P2'
_cell_length_a 3.922
_cell_length_b 3.922
_cell_length_c 10.964
_cell_angle_alpha 90.00
_cell_angle_beta 90.00
_cell_angle_gamma 90.00
_space_group_name_H-M_alt 'I 4/m m m'
_space_group_IT_number 139
_space_group_name_Hall '-I 4 2'
loop_
_atom_site_label
_atom_site_type_symbol
_atom_site_fract_x
_atom_site_fract_y
_atom_site_fract_z
_atom_site_occupancy
K1 K 0.000 0.500 0.250 1
Re1 Re 0.000 0.000 0.000 1
P1 P 0.000 0.000 0.500 1
```

***

(18)
DFT (PBE) results for a relaxed structure of Ac8TlPt2.

Values from the calculation:
- DFT total energy (eV/f.u.) = -51.74

Structure (CIF):
```
data_Ac8TlPt2
_chemical_formula_sum 'Ac16 Tl2 Pt4'
_cell_length_a 9.381
_cell_length_b 14.741
_cell_length_c 6.200
_cell_angle_alpha 90.00
_cell_angle_beta 103.59
_cell_angle_gamma 90.00
_space_group_name_H-M_alt 'C 1 2/m 1'
_space_group_IT_number 12
loop_
_space_group_symop_operation_xyz
'x,y,z'
'-x,-y,-z'
'-x,y,-z'
'x,-y,z'
'x+1/2,y+1/2,z'
'-x+1/2,-y+1/2,-z'
'-x+1/2,y+1/2,-z'
'x+1/2,-y+1/2,z'
loop_
_atom_site_label
_atom_site_type_symbol
_atom_site_fract_x
_atom_site_fract_y
_atom_site_fract_z
_atom_site_occupancy
Ac1 Ac 0.000 0.243 0.000 1
Ac2 Ac 0.113 0.500 0.803 1
Ac3 Ac 0.209 0.128 0.589 1
Tl1 Tl 0.000 0.000 0.000 1
Pt1 Pt 0.000 0.298 0.500 1
```

***

(19)
DFT (PBE) results for a relaxed structure of Ba2Ge4Mo.

Values from the calculation:
- DFT total energy (eV/f.u.) = -34.65

Structure (CIF):
```
data_Ba2Ge4Mo
_chemical_formula_sum 'Ba4 Ge8 Mo2'
_cell_length_a 4.944
_cell_length_b 4.944
_cell_length_c 16.468
_cell_angle_alpha 90.00
_cell_angle_beta 90.00
_cell_angle_gamma 90.00
_space_group_name_H-M_alt 'I 4/m m m'
_space_group_IT_number 139
_space_group_name_Hall '-I 4 2'
loop_
_atom_site_label
_atom_site_type_symbol
_atom_site_fract_x
_atom_site_fract_y
_atom_site_fract_z
_atom_site_occupancy
Ba1 Ba 0.000 0.000 0.145 1
Ge1 Ge 0.000 0.000 0.346 1
Ge2 Ge 0.000 0.500 0.000 1
Mo1 Mo 0.000 0.000 0.500 1
```

***

(20)
DFT (PBE) results for a relaxed structure of Te2PtWN.

Values from the calculation:
- energy relative to the lowest polymorph listed for this composition (eV/atom) = 0.601
- uncorrected formation energy (eV/atom) = 1.160

Structure (CIF):
```
data_Te2PtWN
_chemical_formula_sum 'Te2 Pt1 W1 N1'
_cell_length_a 5.485
_cell_length_b 5.485
_cell_length_c 3.654
_cell_angle_alpha 90.00
_cell_angle_beta 90.00
_cell_angle_gamma 90.00
_space_group_name_H-M_alt 'P 4/m m m'
_space_group_IT_number 123
_space_group_name_Hall '-P 4 2'
loop_
_atom_site_label
_atom_site_type_symbol
_atom_site_fract_x
_atom_site_fract_y
_atom_site_fract_z
_atom_site_occupancy
Te1 Te 0.000 0.500 0.000 1
Pt1 Pt 0.000 0.000 0.000 1
W1 W 0.500 0.500 0.500 1
N1 N 0.000 0.000 0.500 1
```